Record 1
A geometry-optimized Er4InAg2Ir structure. Source: the Alexandria database, functional PBE.

The structure belongs to space group R-3m (No. 166, hexagonal axes); the cell edges are 5.0676, 5.0676 and 24.7714 Å and the angles 90.00°, 90.00° and 120.00°. Symmetry generates all atoms from Er at (0.0000, 0.0000, 0.1143), Er at (0.0000, 0.0000, 0.3673), In at (0.0000, 0.0000, 0.5000), Ag at (0.0000, 0.0000, 0.2403) and Ir at (0.0000, 0.0000, 0.0000).

For the density of states at the Fermi level, the calculation gives 8.40 states/eV per cell. The total DFT energy (no corrections) comes out at -5.00 eV per atom. For the calculated formation energy, the calculation gives -0.56 eV per atom. Its total moment is 0.00 Bohr magnetons per cell.

=====

Record 2
A geometry-optimized ErInAgIr structure. Source: the Alexandria database, functional PBE.

The structure belongs to space group F-43m (No. 216); the cell edges are 6.796, 6.796 and 6.796 Å and the angles 90.00°, 90.00° and 90.00°. Symmetry generates all atoms from Er at (0.000, 0.000, 0.000), In at (0.000, 0.000, 0.500), Ag at (0.250, 0.250, 0.750) and Ir at (0.250, 0.250, 0.250).

For the density of states at the Fermi level, the calculation gives 12.33 states/eV per cell. The total DFT energy (no corrections) comes out at -5.16 eV per atom. For the calculated formation energy, the calculation gives -0.41 eV per atom. Its total moment is 0.00 Bohr magnetons per cell.

=====

Which formula does entry 1 have?
Er4InAg2Ir